A plane-wave DFT calculation with PBE was carried out for BSbPd3 after structural relaxation.

formation energy from raw total energies = 1315 meV/atom
final energy = -3.96 eV/atom
distance to the lowest polymorph of the same formula = 1.494 eV/atom

Lattice parameters (Å, degrees): 4.9508 4.9508 4.9508 90.00 90.00 90.00
With the nearest neighbours (Å) after each atom.
Element x y z (fractional)
Pd (0.0000, 0.0000, 0.5000)  2 Sb 2.48
B (0.5000, 0.5000, 0.5000)  12 Pd 3.50
Pd (0.5000, 0.0000, 0.0000)  2 Sb 2.48
Sb (0.0000, 0.0000, 0.0000)  6 Pd 2.48
Pd (0.0000, 0.5000, 0.0000)  2 Sb 2.48